# BaW2Br

A relaxed BaW2Br crystal (PBE, the Alexandria database).

For the density of states at the Fermi level, the calculation gives 3.51 states/eV/f.u. The value obtained for the formation energy (no corrections) is 1056 meV per atom. The density comes out at 9.08 g/cm3. The size of the total moment comes out at 0.3 μB/f.u.

Unit cell a=3.272 b=4.713 c=6.933 alpha=90.00 beta=90.00 gamma=90.00
Space group Pmmm (No. 47)
Symmetry-distinct sites (fractional):
1 Ba 0.000 0.000 0.000
2 W 0.000 0.500 0.500
3 W 0.500 0.000 0.500
4 Br 0.500 0.500 0.000